An optimized crystal structure of Cr2B3W3. Source: Alexandria, functional PBE.

Cell: 6.679 6.679 6.679 Å, 128.76 128.76 75.40°
Fractional positions:
Cr (0.163, 0.663, 0.826)
Cr (0.337, 0.163, 0.500)
Cr (0.663, 0.837, 0.500)
Cr (0.837, 0.337, 0.174)
B (0.023, 0.754, 0.500)
B (0.254, 0.523, 0.500)
B (0.404, 0.404, 0.000)
B (0.523, 0.023, 0.269)
B (0.754, 0.254, 0.731)
B (0.904, 0.904, 0.000)
W (0.122, 0.622, 0.157)
W (0.131, 0.131, 0.000)
W (0.465, 0.965, 0.843)
W (0.622, 0.465, 0.500)
W (0.631, 0.631, 0.000)
W (0.965, 0.122, 0.500)

***

An optimized crystal structure of CrBW. Source: Alexandria, functional PBE.

Cell: 10.438 3.065 6.121 Å, 90.00 90.00 90.00°
Fractional positions:
Cr (0.122, 0.000, 0.069)
Cr (0.250, 0.000, 0.699)
Cr (0.378, 0.000, 0.069)
Cr (0.622, 0.000, 0.931)
Cr (0.750, 0.000, 0.301)
Cr (0.878, 0.000, 0.931)
B (0.089, 0.000, 0.444)
B (0.250, 0.500, 0.946)
B (0.411, 0.000, 0.444)
B (0.589, 0.000, 0.556)
B (0.750, 0.500, 0.054)
B (0.911, 0.000, 0.556)
W (0.047, 0.500, 0.730)
W (0.250, 0.500, 0.349)
W (0.453, 0.500, 0.730)
W (0.547, 0.500, 0.270)
W (0.750, 0.500, 0.651)
W (0.953, 0.500, 0.270)

***

An optimized crystal structure of Cr2B4W. Source: Alexandria, functional PBE.

Cell: 6.926 6.926 6.926 Å, 155.00 154.52 36.00°
Fractional positions:
Cr (0.185, 0.185, 0.000)
Cr (0.815, 0.815, 0.000)
B (0.354, 0.354, 0.000)
B (0.429, 0.929, 0.500)
B (0.571, 0.071, 0.500)
B (0.646, 0.646, 0.000)
W (0.000, 0.500, 0.500)

***

An optimized crystal structure of Zn2CrBW. Source: Alexandria, functional PBE.

Cell: 4.982 4.982 4.459 Å, 90.00 90.00 90.00°
Fractional positions:
Zn (0.000, 0.500, 0.000)
Zn (0.500, 0.000, 0.000)
Cr (0.000, 0.000, 0.500)
B (0.500, 0.500, 0.500)
W (0.000, 0.000, 0.000)

***

An optimized crystal structure of YCrB3. Source: Alexandria, functional PBE.

Calculated values
- energy above the lowest structure with this stoichiometry (meV per atom) = 0

Cell: 3.937 3.937 3.937 Å, 90.00 90.00 90.00°
Fractional positions:
Y (0.000, 0.000, 0.000)
Cr (0.500, 0.500, 0.500)
B (0.000, 0.500, 0.500)
B (0.500, 0.000, 0.500)
B (0.500, 0.500, 0.000)

***

An optimized crystal structure of Y3CrB. Source: Alexandria, functional PBE.

Cell: 5.056 5.056 5.056 Å, 90.00 90.00 90.00°
Fractional positions:
Y (0.000, 0.000, 0.500)
Y (0.000, 0.500, 0.000)
Y (0.500, 0.000, 0.000)
Cr (0.500, 0.500, 0.500)
B (0.000, 0.000, 0.000)

***

An optimized crystal structure of YCr2B. Source: Alexandria, functional PBE.

Cell: 5.925 5.925 5.925 Å, 60.00 60.00 60.00°
Fractional positions:
Y (0.125, 0.125, 0.125)
Y (0.875, 0.875, 0.875)
Cr (0.000, 0.500, 0.500)
Cr (0.500, 0.000, 0.500)
Cr (0.500, 0.500, 0.000)
Cr (0.500, 0.500, 0.500)
B (0.375, 0.375, 0.375)
B (0.625, 0.625, 0.625)

***

An optimized crystal structure of Y2CrB2. Source: Alexandria, functional PBE.

Cell: 6.453 6.453 3.751 Å, 90.00 90.00 90.00°
Fractional positions:
Y (0.158, 0.342, 0.000)
Y (0.342, 0.842, 0.000)
Y (0.658, 0.158, 0.000)
Y (0.842, 0.658, 0.000)
Cr (0.000, 0.000, 0.500)
Cr (0.500, 0.500, 0.500)
B (0.157, 0.657, 0.500)
B (0.343, 0.157, 0.500)
B (0.657, 0.843, 0.500)
B (0.843, 0.343, 0.500)

***

| no. | energy of formation (meV per atom) | E (eV for the cell shown) |
| --- | --- | --- |
| 1 | -274 | -160.66 |
| 2 | -352 | -181.85 |
| 3 | -390 | -61.64 |
| 4 | 2084 | -21.38 |
| 5 | 51 | -35.87 |
| 6 | 279 | -34.30 |
| 7 | 854 | -57.94 |
| 8 | 207 | -69.75 |